[1]
LiCaBeAl | PBE | optimized geometry

Values from the calculation:
E, eV per atom: -2.842
Volume, Å³ per cell: 69.1
Symmetry: F-43m

Lattice parameters (Å, degrees): 4.607 4.607 4.607 60.00 60.00 60.00
Fractional coordinates of all 4 atoms:
Be 0.500 0.500 0.500
Ca 0.250 0.250 0.250
Al 0.750 0.750 0.750
Li 0.000 0.000 0.000

***

[2]
CaBeAlN2 | PBE | optimized geometry

Values from the calculation:
E, eV per atom: -5.891
Volume, Å³ per cell: 123.1
Formation energy (no corrections), eV per atom: -0.667
Symmetry: P2/c

Lattice parameters (Å, degrees): 4.224 5.410 5.477 100.22 90.00 90.00
Fractional coordinates of all 10 atoms:
N 0.279 0.204 0.047
N 0.721 0.204 0.547
N 0.721 0.796 0.953
N 0.279 0.796 0.453
Al 0.502 0.000 0.750
Al 0.498 0.000 0.250
Ca 0.219 0.500 0.750
Ca 0.781 0.500 0.250
Be 0.000 0.000 0.500
Be 0.000 0.000 0.000

***

[3]
CaBe2NbAl | PBE | optimized geometry

Values from the calculation:
E, eV per atom: -3.429
Volume, Å³ per cell: 99.2
Symmetry: P4/mmm

Lattice parameters (Å, degrees): 4.377 5.177 4.377 90.00 90.00 90.00
Last column: magnetic moment on the atom in μB.
Fractional coordinates of all 5 atoms:
Be 0.000 0.000 0.500  -0.02
Be 0.500 0.000 0.000  -0.02
Ca 0.000 0.500 0.000  0.10
Al 0.000 0.000 0.000  0.00
Nb 0.500 0.500 0.500  1.81

***

[4]
Ca3Be2AlO6 | PBE | optimized geometry

Values from the calculation:
E, eV per atom: -6.541
Volume, Å³ per cell: 146.6
Formation energy (no corrections), eV per atom: -2.628
Symmetry: P-3m1

Lattice parameters (Å, degrees): 5.244 5.244 6.154 90.00 90.00 120.00
Fractional coordinates of all 12 atoms:
O 0.665 0.832 0.309
O 0.168 0.335 0.309
O 0.335 0.168 0.691
O 0.168 0.832 0.309
O 0.832 0.168 0.691
O 0.832 0.665 0.691
Ca 0.333 0.667 0.665
Ca 0.667 0.333 0.335
Ca 0.000 0.000 0.000
Be 0.333 0.667 0.252
Be 0.667 0.333 0.748
Al 0.000 0.000 0.500

***

- Look up the volume of the fourth one.
  146.6 Å³ per cell

***

- Which value of E does entry 3 give?
  -3.429 eV per atom

***

- E of number 1 (LiCaBeAl)?
  -2.842 eV per atom

***

- Among the records above, which one has the lowest volume?
  LiCaBeAl